Below is a relaxed structure of Ca2MnCl, with properties calculated at the GGA-PBE level.

a b c (Å): 4.2218 4.2218 12.9804
angles (deg): 90.00 90.00 90.00
Last column: nearest neighbours and their distance in Å.
Space group I-4m2 (No. 119)
Unique sites:
1 Ca 0.0000 0.0000 0.0000 [2 per cell]  4 Mn 2.99
2 Ca 0.0000 0.5000 0.2500 [2 per cell]  4 Cl 2.99
3 Mn 0.0000 0.0000 0.5000 [2 per cell]  4 Ca 2.99
4 Cl 0.0000 0.5000 0.7500 [2 per cell]  4 Ca 2.99

Calculated values
**E above lowest polymorph**: 320 meV per atom
**E_form (uncorrected)**: -0.198 eV/atom

=====

Below is a relaxed structure of Be2AlZn2Cu5, with properties calculated at the GGA-PBE level.

a b c (Å): 8.1811 8.1811 3.6318
angles (deg): 90.00 90.00 90.00
Last column: nearest neighbours and their distance in Å.
Space group P4/mbm (No. 127)
Unique sites:
1 Be 0.1157 0.3843 0.0000 [4 per cell]  6 Cu 2.26-2.35, 3 Zn 2.40-2.44
2 Al 0.0000 0.0000 0.0000 [2 per cell]  8 Cu 2.55
3 Zn 0.1766 0.6766 0.0000 [4 per cell]  3 Be 2.40-2.44
4 Cu 0.0000 0.5000 0.5000 [2 per cell]  4 Be 2.26, 4 Cu 2.50
5 Cu 0.0790 0.2047 0.5000 [8 per cell]  2 Be 2.35, 4 Cu 2.50-2.54, 2 Al 2.55

Calculated values
**DFT formation energy**: -0.04 eV per atom

=====

Below is a relaxed structure of TiAl7V5, with properties calculated at the GGA-PBE level.

a b c (Å): 5.2590 8.6523 8.9486
angles (deg): 90.00 90.00 90.00
Last column: nearest neighbours and their distance in Å.
Space group Imm2 (No. 44)
Unique sites:
1 Ti 0.0000 0.0000 0.0000 [2 per cell]  8 Al 2.85-3.15, 4 V 3.13
2 Al 0.0000 0.0000 0.3339 [2 per cell]  4 V 2.67, 2 Al 2.71, 1 Ti 2.99
3 Al 0.0000 0.0000 0.6818 [2 per cell]  6 V 2.59-2.79, 1 Ti 2.85
4 Al 0.0000 0.3015 0.5280 [4 per cell]  5 V 2.60-2.76, 3 Al 2.71-2.86
5 Al 0.0000 0.3290 0.0278 [4 per cell]  5 V 2.68-2.75, 4 Al 2.80-2.96, 1 Ti 2.86
6 Al 0.0000 0.5000 0.7615 [2 per cell]  4 V 2.62, 6 Al 2.71-2.80
7 V 0.0000 0.5000 0.2869 [2 per cell]  4 V 2.45
8 V 0.2478 0.2376 0.7804 [8 per cell]  3 V 2.45-2.65, 7 Al 2.59-2.69

Calculated values
**DFT formation energy**: -0.16 eV per atom

=====

Below is a relaxed structure of DyTm2Bi2, with properties calculated at the GGA-PBE level.

a b c (Å): 4.9072 18.0648 6.6214
angles (deg): 90.00 90.00 90.00
Last column: nearest neighbours and their distance in Å.
Space group Cmc2_1 (No. 36)
Unique sites:
1 Dy 0.0000 0.1175 0.0000 [4 per cell]  4 Bi 3.14-3.34
2 Tm 0.0000 0.3196 0.8696 [4 per cell]  6 Bi 3.15-3.50
3 Tm 0.0000 0.4860 0.2371 [4 per cell]  4 Bi 3.16-3.26, 2 Tm 3.35
4 Bi 0.0000 0.0674 0.4742 [4 per cell]  6 Tm 3.16-3.27, 2 Dy 3.27-3.34
5 Bi 0.0000 0.2898 0.3479 [4 per cell]  2 Dy 3.14, 4 Tm 3.15-3.50

Calculated values
**DFT formation energy**: -0.57 eV per atom

=====

Below is a relaxed structure of LiAcZn11, with properties calculated at the GGA-PBE level.

a b c (Å): 5.2669 12.9457 6.9796
angles (deg): 90.00 112.13 90.00
Last column: nearest neighbours and their distance in Å.
Space group C2/m (No. 12)
Unique sites:
1 Li 0.0000 0.0000 0.0000 [2 per cell]  10 Zn 2.63-2.78
2 Ac 0.0000 0.5000 0.5000 [2 per cell]  18 Zn 3.28-3.49, 2 Li 3.49
3 Zn 0.0000 0.5000 0.0000 [2 per cell]  8 Zn 2.63-2.84, 2 Li 2.63
4 Zn 0.1170 0.1151 0.7339 [8 per cell]  1 Li 2.63, 7 Zn 2.63-2.94
5 Zn 0.1936 0.3216 0.8597 [8 per cell]  7 Zn 2.60-2.86, 1 Li 2.78
6 Zn 0.2500 0.2500 0.5000 [4 per cell]  10 Zn 2.63-2.86

Calculated values
**DFT formation energy**: -0.17 eV per atom

=====

Below is a relaxed structure of AsP2IrCl, with properties calculated at the GGA-PBE level.

a b c (Å): 4.7104 4.7104 4.4917
angles (deg): 90.00 90.00 90.00
Last column: nearest neighbours and their distance in Å.
Space group P4/mmm (No. 123)
Unique sites:
1 As 0.0000 0.0000 0.0000 [1 per cell]  2 Cl 2.25, 4 P 2.36
2 P 0.0000 0.5000 0.0000 [2 per cell]  2 As 2.36
3 Ir 0.5000 0.5000 0.5000 [1 per cell]  8 P 3.25, 4 Cl 3.33
4 Cl 0.0000 0.0000 0.5000 [1 per cell]  2 As 2.25

Calculated values
**E above lowest polymorph**: 751 meV per atom
**E_form (uncorrected)**: 1.409 eV/atom

=====

Below is a relaxed structure of KCr2B, with properties calculated at the GGA-PBE level.

a b c (Å): 6.5472 6.5472 9.3064
angles (deg): 90.00 90.00 90.00
Last column: nearest neighbours and their distance in Å.
Space group I4_1/amd (No. 141, origin choice 2)
Unique sites:
1 K 0.0000 0.2500 0.3750 [4 per cell]  12 Cr 3.84-3.85, 4 K 4.02, 4 B 4.02
2 Cr 0.0000 0.0000 0.0000 [8 per cell]  2 B 2.01
3 B 0.0000 0.2500 0.8750 [4 per cell]  4 Cr 2.01

Calculated values
**DFT formation energy**: 1.00 eV per atom

=====

Below is a relaxed structure of CuB2PtPb, with properties calculated at the GGA-PBE level.

a b c (Å): 4.0222 4.0222 6.0867
angles (deg): 90.00 90.00 90.00
Last column: nearest neighbours and their distance in Å.
Space group P4/mmm (No. 123)
Unique sites:
1 Cu 0.0000 0.0000 0.0000 [1 per cell]  4 Pb 2.84
2 B 0.0000 0.5000 0.5000 [2 per cell]  2 Pt 2.01
3 Pt 0.5000 0.5000 0.5000 [1 per cell]  4 B 2.01
4 Pb 0.5000 0.5000 0.0000 [1 per cell]  4 Cu 2.84, 2 Pt 3.04

Calculated values
**DFT formation energy**: 0.71 eV per atom

=====

| no. | calculated density (g/cm³) |
| --- | --- |
| 1 | 2.45 |
| 2 | 6.74 |
| 3 | 4.01 |
| 4 | 10.39 |
| 5 | 7.18 |
| 6 | 6.07 |
| 7 | 2.56 |
| 8 | 8.22 |